This record from Alexandria via LeMat-Bulk describes K5MnF8 after structural relaxation. The functional is PBE+U.

Structure (extended XYZ):
```
14
Lattice="7.537 0.000 0.000 3.768 6.527 0.000 3.768 2.176 6.154" Properties=species:S:1:pos:R:3 pbc="T T T"
K 0.000 0.000 0.000
K 7.537 4.351 0.750
K 9.437 5.448 3.853
K 5.636 5.448 3.853
K 7.537 2.157 3.853
Mn 3.768 2.176 1.538
F 7.537 6.867 2.187
F 9.716 3.093 2.187
F 5.358 3.093 2.187
F 7.537 4.351 5.746
F 11.305 6.527 2.516
F 9.591 7.516 5.315
F 13.019 7.516 5.315
F 11.305 4.548 5.315
```

Properties
crystal system: cubic
final energy: -4.5023 eV/atom